VASP calculation (GGA+U) on an optimized crystal structure of MgNiF3.

Summary:
The value obtained for the total magnetization is 2.0 μB per formula unit. For the final energy, the calculation gives -3.839 eV/atom. As for the space-group type: No. 221.

Cell: 4.041 4.041 4.041 Å, 90.00 90.00 90.00°
Site moments in Bohr magnetons follow the coordinates.
Fractional positions:
1 F 0.000 0.000 0.500  0.03
2 F 0.000 0.500 0.000  0.05
3 Ni 0.000 0.000 0.000  1.83
4 F 0.500 0.000 0.000  0.06
5 Mg 0.500 0.500 0.500  0.00

VASP calculation (GGA+U) on an optimized crystal structure of MgNi2F2.

Summary:
The value obtained for the total magnetization is 1.7 μB per formula unit. As for the excess energy over the best structure of this formula in the dataset: 0.621 eV/atom. As for the space-group type: No. 139.

Cell: 3.030 3.030 8.488 Å, 79.72 79.72 90.00°
Site moments in Bohr magnetons follow the coordinates.
Fractional positions:
1 Ni 0.750 0.250 0.500  1.01
2 F 0.568 0.568 0.864  0.00
3 Mg 0.000 0.000 0.000  0.00
4 F 0.432 0.432 0.136  0.00
5 Ni 0.250 0.750 0.500  1.01

VASP calculation (GGA+U) on an optimized crystal structure of MgNiF5.

Summary:
The value obtained for the total magnetization is 3.0 μB per formula unit. As for the excess energy over the best structure of this formula in the dataset: 0.047 eV/atom. As for the space-group type: No. 15.

Cell: 5.223 5.223 7.386 Å, 69.17 69.17 71.88°
Site moments in Bohr magnetons follow the coordinates.
Fractional positions:
1 Mg 0.000 0.000 0.500  0.01
2 F 0.137 0.863 0.250  0.07
3 F 0.788 0.693 0.646  0.15
4 F 0.693 0.788 0.146  0.15
5 F 0.212 0.307 0.354  0.15
6 F 0.714 0.334 0.059  0.13
7 F 0.666 0.286 0.441  0.13
8 Mg 0.000 0.000 0.000  0.01
9 F 0.286 0.666 0.941  0.13
10 F 0.863 0.137 0.750  0.07
11 Ni 0.529 0.471 0.750  2.31
12 Ni 0.471 0.529 0.250  2.31
13 F 0.334 0.714 0.559  0.13
14 F 0.307 0.212 0.854  0.15